DFT (PBE) results for crystalline MgZnSeN2 at its relaxed geometry.

Results
Fermi-level density of states in states/eV/f.u.: 1.6
Energy above the lowest structure with this stoichiometry in eV per atom: 0.000
V in Å³ per cell: 86
Formation energy from raw total energies in meV per atom: 964

The structure in extended XYZ format:
```
5
Lattice="3.894 0.000 0.000 0.000 3.894 0.000 0.000 0.000 5.690" Properties=species:S:1:pos:R:3 pbc="T T T"
Se 0.000 0.000 2.845
N 1.947 0.000 0.000
Mg 1.947 1.947 2.845
N 0.000 1.947 0.000
Zn 0.000 0.000 0.000
```